No. 1
ZnFe2Rh | Alexandria | PBE | optimized geometry; ΔE_f = 0.062 eV per atom; symmetry = R-3m; DOS at the Fermi energy = 1.463 states/eV per atom; uncorrected energy = -25.3 eV for the cell shown; mass density = 8.740 Mg/m³
1.0
1.3372 0.7720 8.5890
-1.3372 0.7720 8.5890
0.0000 -1.5441 8.5890
Zn Fe Rh
1 2 1
Cartesian
0.0000 0.0000 0.0000 Zn
0.0000 0.0000 6.4402 Fe
0.0000 0.0000 19.3268 Fe
0.0000 0.0000 12.8835 Rh

***

No. 2
FeB3S | Alexandria | PBE | optimized geometry; ΔE_f (raw) = 1.767 eV/atom; symmetry = Pm-3m; DOS at the Fermi energy = 0.636 states/eV per atom; uncorrected energy = -23.8 eV for the cell shown; mass density = 3.728 Mg/m³
1.0
3.7705 0.0000 0.0000
0.0000 3.7705 0.0000
0.0000 0.0000 3.7705
Fe B S
1 3 1
Cartesian
0.0000 0.0000 0.0000 Fe
0.0000 1.8853 1.8853 B
1.8853 0.0000 1.8853 B
1.8853 1.8853 0.0000 B
1.8853 1.8853 1.8853 S

***

No. 3
Ca2LaSnIr | Alexandria | PBE | optimized geometry; ΔE_f = -0.455 eV per atom; symmetry = P4/mmm; DOS at the Fermi energy = 0.623 states/eV per atom; uncorrected energy = -24.1 eV for the cell shown; mass density = 5.405 Mg/m³
1.0
5.4656 0.0000 0.0000
0.0000 5.4656 0.0000
0.0000 0.0000 5.4505
Ca La Sn Ir
2 1 1 1
Cartesian
0.0000 2.7328 0.0000 Ca
2.7328 0.0000 0.0000 Ca
0.0000 0.0000 2.7253 La
2.7328 2.7328 2.7253 Sn
0.0000 0.0000 0.0000 Ir

***

No. 4
LiEuErHg | Alexandria | PBE | optimized geometry; ΔE_f = -0.197 eV per atom; symmetry = F-43m; DOS at the Fermi energy = 1.214 states/eV per atom; uncorrected energy = -17.8 eV for the cell shown; mass density = 8.159 Mg/m³
1.0
0.0000 3.7705 3.7705
3.7705 0.0000 3.7705
3.7705 3.7705 0.0000
Li Eu Er Hg
1 1 1 1
Cartesian
0.0000 0.0000 0.0000 Li
1.8853 1.8853 1.8853 Eu
5.6558 5.6558 5.6558 Er
3.7705 3.7705 3.7705 Hg

***

No. 5
GaBiAu4 | Alexandria | PBE | optimized geometry; ΔE_f = -0.029 eV per atom; symmetry = C2/m; DOS at the Fermi energy = 0.281 states/eV per atom; uncorrected energy = -40.4 eV for the cell shown; mass density = 13.431 Mg/m³
1.0
7.1908 -2.8326 0.0000
7.1908 2.8326 0.0000
-0.6190 0.0000 6.4739
Ga Bi Au
2 2 8
Cartesian
0.6131 0.0000 1.3308 Ga
13.1495 0.0000 5.1430 Ga
4.2106 0.0000 4.1359 Bi
9.5519 0.0000 2.3380 Bi
5.5465 1.3922 0.6840 Au
3.2114 0.0000 1.3808 Au
6.8813 1.3498 3.2369 Au
8.2161 1.3922 5.7898 Au
5.5465 -1.3922 0.6840 Au
6.8813 -1.3498 3.2369 Au
10.5511 0.0000 5.0930 Au
8.2161 -1.3922 5.7898 Au

***

No. 6
LiCuAsPt | Alexandria | PBE | optimized geometry; ΔE_f = -0.347 eV per atom; symmetry = F-43m; DOS at the Fermi energy = 0.419 states/eV per atom; uncorrected energy = -18.1 eV for the cell shown; mass density = 9.851 Mg/m³
1.0
0.0000 3.0616 3.0616
3.0616 0.0000 3.0616
3.0616 3.0616 0.0000
Li Cu As Pt
1 1 1 1
Cartesian
0.0000 0.0000 0.0000 Li
4.5924 4.5924 4.5924 Cu
1.5308 1.5308 1.5308 As
3.0616 3.0616 3.0616 Pt

***

No. 7
InSbRh2 | Alexandria | PBE | optimized geometry; ΔE_f (raw) = -0.278 eV/atom; symmetry = P4/mmm; DOS at the Fermi energy = 0.883 states/eV per atom; uncorrected energy = -22.7 eV for the cell shown; mass density = 10.458 Mg/m³
1.0
3.2573 0.0000 0.0000
0.0000 3.2573 0.0000
0.0000 0.0000 6.6204
In Sb Rh
1 1 2
Cartesian
0.0000 0.0000 0.0000 In
0.0000 0.0000 3.3102 Sb
1.6287 1.6287 1.7018 Rh
1.6287 1.6287 4.9185 Rh

***

No. 8
Na2NbV2Se6 | Alexandria | PBE | optimized geometry; ΔE_f (raw) = -0.845 eV/atom; symmetry = C2/m; DOS at the Fermi energy = 0.513 states/eV per atom; uncorrected energy = -61.1 eV for the cell shown; mass density = 4.913 Mg/m³
1.0
3.0180 -5.3572 0.0000
3.0180 5.3572 0.0000
-1.6341 0.0000 7.4689
Na Nb V Se
2 1 2 6
Cartesian
3.0180 3.5167 0.0000 Na
3.0180 -3.5167 0.0000 Na
-0.8171 0.0000 3.7345 Nb
2.2009 1.4020 3.7345 V
2.2009 -1.4020 3.7345 V
0.2350 1.8968 5.1988 Se
1.2231 0.0000 2.0077 Se
0.2350 -1.8968 5.1988 Se
4.1668 1.8968 2.2701 Se
3.1787 0.0000 5.4612 Se
4.1668 -1.8968 2.2701 Se

***

No. 9
UInH | Alexandria | PBE | optimized geometry; symmetry = P3m1; DOS at the Fermi energy = 1.452 states/eV per atom; uncorrected energy = -17.3 eV for the cell shown; mass density = 11.800 Mg/m³
1.0
3.1668 0.0000 0.0000
-1.5834 2.7425 0.0000
0.0000 0.0000 5.7337
U In H
1 1 1
Cartesian
0.0000 0.0000 0.0000 U
0.0000 1.8283 2.9411 In
1.5834 0.9142 1.1497 H

***

No. 10
VTcAsRu | Alexandria | PBE | optimized geometry; ΔE_f = -0.202 eV per atom; symmetry = F-43m; DOS at the Fermi energy = 0.683 states/eV per atom; uncorrected energy = -34.2 eV for the cell shown; mass density = 9.667 Mg/m³
1.0
0.0000 3.0333 3.0333
3.0333 0.0000 3.0333
3.0333 3.0333 0.0000
V Tc As Ru
1 1 1 1
Cartesian
0.0000 0.0000 0.0000 V
4.5499 4.5499 4.5499 Tc
3.0333 3.0333 3.0333 As
1.5166 1.5166 1.5166 Ru